Model one:
! GGA-PBE YTl3P, relaxed; values from VASP
! * V: 199.5 Å³/cell
&SYSTEM
  ibrav = 0, nat = 5, ntyp = 3
/
ATOMIC_SPECIES
Y 88.91 Y.upf
P 30.97 P.upf
Tl 204.38 Tl.upf
CELL_PARAMETERS angstrom
5.843 0.000 0.000
0.000 5.843 0.000
0.000 0.000 5.843
ATOMIC_POSITIONS angstrom
Y 0.000 0.000 0.000
P 2.922 2.922 2.922
Tl 0.000 2.922 0.000
Tl 0.000 0.000 2.922
Tl 2.922 0.000 0.000



Model two:
! GGA-PBE YTl3P, relaxed; values from VASP
! * V: 148.6 Å³/cell
&SYSTEM
  ibrav = 0, nat = 5, ntyp = 3
/
ATOMIC_SPECIES
Y 88.91 Y.upf
P 30.97 P.upf
Tl 204.38 Tl.upf
CELL_PARAMETERS angstrom
5.297 0.000 0.000
0.000 5.297 0.000
0.000 0.000 5.297
ATOMIC_POSITIONS angstrom
Y 2.649 2.649 2.649
P 0.000 0.000 0.000
Tl 0.000 2.649 0.000
Tl 0.000 0.000 2.649
Tl 2.649 0.000 0.000



Which of them is the least stable? Correct choice: model one.



Model one:
! GGA-PBE Tl3ZnP, relaxed; values from VASP
! * V: 147.5 Å³/cell
&SYSTEM
  ibrav = 0, nat = 5, ntyp = 3
/
ATOMIC_SPECIES
P 30.97 P.upf
Tl 204.38 Tl.upf
Zn 65.41 Zn.upf
CELL_PARAMETERS angstrom
5.284 0.000 0.000
0.000 5.284 0.000
0.000 0.000 5.284
ATOMIC_POSITIONS angstrom
P 2.642 2.642 2.642
Tl 0.000 2.642 0.000
Tl 0.000 0.000 2.642
Tl 2.642 0.000 0.000
Zn 0.000 0.000 0.000



Model two:
! GGA-PBE Tl3ZnP, relaxed; values from VASP
! * V: 160.6 Å³/cell
&SYSTEM
  ibrav = 0, nat = 5, ntyp = 3
/
ATOMIC_SPECIES
P 30.97 P.upf
Tl 204.38 Tl.upf
Zn 65.41 Zn.upf
CELL_PARAMETERS angstrom
5.436 0.000 0.000
0.000 5.436 0.000
0.000 0.000 5.436
ATOMIC_POSITIONS angstrom
P 0.000 0.000 0.000
Tl 0.000 2.718 0.000
Tl 0.000 0.000 2.718
Tl 2.718 0.000 0.000
Zn 2.718 2.718 2.718



Which of them is the least stable? Correct choice: model one.



Model one:
! GGA-PBE ZrTl3P, relaxed; values from VASP
! * V: 180.4 Å³/cell
&SYSTEM
  ibrav = 0, nat = 5, ntyp = 3
/
ATOMIC_SPECIES
P 30.97 P.upf
Tl 204.38 Tl.upf
Zr 91.22 Zr.upf
CELL_PARAMETERS angstrom
-3.094 4.233 -2.107
-4.664 -3.146 0.529
-0.777 2.028 5.216
ATOMIC_POSITIONS angstrom
P -4.267 1.558 1.819
Tl -2.332 -1.573 0.264
Tl -0.388 1.014 2.608
Tl -1.547 2.116 -1.053
Zr 0.000 0.000 0.000



Model two:
! GGA-PBE ZrTl3P, relaxed; values from VASP
! * V: 142.3 Å³/cell
&SYSTEM
  ibrav = 0, nat = 5, ntyp = 3
/
ATOMIC_SPECIES
P 30.97 P.upf
Tl 204.38 Tl.upf
Zr 91.22 Zr.upf
CELL_PARAMETERS angstrom
-2.482 2.995 -3.482
-3.198 -3.968 -1.134
-3.297 1.594 3.721
ATOMIC_POSITIONS angstrom
P 0.000 0.000 0.000
Tl -1.599 -1.984 -0.567
Tl -1.648 0.797 1.861
Tl -1.241 1.498 -1.741
Zr -4.488 0.311 -0.447



Which of them is the least stable? Correct choice: model one.



Model one:
! GGA-PBE Zr2TlP, relaxed; values from VASP
! * V: 81.0 Å³/cell
&SYSTEM
  ibrav = 0, nat = 4, ntyp = 3
/
ATOMIC_SPECIES
Zr 91.22 Zr.upf
Tl 204.38 Tl.upf
P 30.97 P.upf
CELL_PARAMETERS angstrom
5.037 -0.565 -0.178
1.269 0.813 4.842
-3.483 -3.260 -1.719
ATOMIC_POSITIONS angstrom
Zr 2.353 -1.851 0.218
Zr 0.469 -1.162 2.728
Tl 0.000 0.000 0.000
P 3.153 0.124 2.332



Model two:
! GGA-PBE Zr2TlP, relaxed; values from VASP
! * V: 81.1 Å³/cell
&SYSTEM
  ibrav = 0, nat = 4, ntyp = 3
/
ATOMIC_SPECIES
Zr 91.22 Zr.upf
Tl 204.38 Tl.upf
P 30.97 P.upf
CELL_PARAMETERS angstrom
4.548 0.000 0.000
0.000 4.548 0.000
0.000 0.000 3.922
ATOMIC_POSITIONS angstrom
Zr 2.274 0.000 0.000
Zr 0.000 2.274 0.000
Tl 0.000 0.000 1.961
P 2.274 2.274 1.961



Which of them is the least stable? Correct choice: model two.



Model one:
! GGA-PBE Zr2TlP, relaxed; values from VASP
! * V: 87.3 Å³/cell
&SYSTEM
  ibrav = 0, nat = 4, ntyp = 3
/
ATOMIC_SPECIES
P 30.97 P.upf
Tl 204.38 Tl.upf
Zr 91.22 Zr.upf
CELL_PARAMETERS angstrom
-2.070 2.083 -2.137
-3.177 -1.248 -1.242
-5.268 3.111 5.058
ATOMIC_POSITIONS angstrom
P -7.886 2.959 1.259
Tl -2.629 0.986 0.420
Zr -5.055 2.942 4.692
Zr -5.471 2.142 1.205



Model two:
! GGA-PBE Zr2TlP, relaxed; values from VASP
! * V: 84.4 Å³/cell
&SYSTEM
  ibrav = 0, nat = 4, ntyp = 3
/
ATOMIC_SPECIES
Zr 91.22 Zr.upf
Tl 204.38 Tl.upf
P 30.97 P.upf
CELL_PARAMETERS angstrom
-4.476 0.579 2.826
-3.562 1.745 -3.553
3.079 -4.263 0.836
ATOMIC_POSITIONS angstrom
Zr -6.337 1.833 -0.573
Zr -1.701 0.492 -0.154
Tl -0.698 -1.842 1.831
P -0.241 -1.259 -1.359



Model three:
! GGA-PBE Zr2TlP, relaxed; values from VASP
! * V: 82.8 Å³/cell
&SYSTEM
  ibrav = 0, nat = 4, ntyp = 3
/
ATOMIC_SPECIES
Zr 91.22 Zr.upf
Tl 204.38 Tl.upf
P 30.97 P.upf
CELL_PARAMETERS angstrom
-2.912 3.244 2.428
0.123 -3.762 3.275
2.416 1.302 2.110
ATOMIC_POSITIONS angstrom
Zr 0.061 -1.881 1.638
Zr -1.456 1.622 1.214
Tl -0.187 0.392 3.906
P 1.208 0.651 1.055



Which of them is the least stable? Correct choice: model three.



Model one:
! GGA-PBE Zr2TlP, relaxed; values from VASP
! * V: 81.5 Å³/cell
&SYSTEM
  ibrav = 0, nat = 4, ntyp = 3
/
ATOMIC_SPECIES
Zr 91.22 Zr.upf
Tl 204.38 Tl.upf
P 30.97 P.upf
CELL_PARAMETERS angstrom
-0.785 3.037 -0.810
0.710 -0.642 -3.095
-7.346 -2.224 -1.223
ATOMIC_POSITIONS angstrom
Zr -5.876 -1.779 -0.978
Zr -1.469 -0.445 -0.245
Tl -3.710 0.085 -2.564
P -0.037 1.197 -1.952



Model two:
! GGA-PBE Zr2TlP, relaxed; values from VASP
! * V: 87.7 Å³/cell
&SYSTEM
  ibrav = 0, nat = 4, ntyp = 3
/
ATOMIC_SPECIES
Zr 91.22 Zr.upf
Tl 204.38 Tl.upf
P 30.97 P.upf
CELL_PARAMETERS angstrom
3.614 0.000 0.000
1.807 3.130 0.000
1.807 1.043 7.749
ATOMIC_POSITIONS angstrom
Zr 1.807 1.043 6.278
Zr 1.807 1.043 1.466
Tl 3.614 2.087 3.887
P 5.421 3.130 7.741



Model three:
! GGA-PBE Zr2TlP, relaxed; values from VASP
! * V: 83.5 Å³/cell
&SYSTEM
  ibrav = 0, nat = 4, ntyp = 3
/
ATOMIC_SPECIES
Zr 91.22 Zr.upf
Tl 204.38 Tl.upf
P 30.97 P.upf
CELL_PARAMETERS angstrom
2.429 0.777 2.012
-2.697 0.099 1.808
0.975 -7.934 1.889
ATOMIC_POSITIONS angstrom
Zr 0.287 -2.336 0.556
Zr 0.688 -5.598 1.333
Tl -0.134 0.438 1.910
P 0.353 -3.529 2.854



Which of them is the least stable? Correct choice: model three.